[1]
A geometry-optimized RbBa3Sb structure, computed with PBE-GGA.

Lattice parameters (Å, degrees): 6.396 6.396 6.396 90.00 90.00 90.00
Atoms (fractional coordinates):
Sb  0.500  0.500  0.500
Ba  0.000  0.500  0.000
Ba  0.000  0.000  0.500
Ba  0.500  0.000  0.000
Rb  0.000  0.000  0.000

Computed properties:
Excess energy over the best structure of this formula in the dataset   1008 meV per atom
VASP energy   -1.547 eV/atom
Crystal system   cubic
Total magnetization   2.61 μB/f.u.

[2]
A geometry-optimized RbBaSb structure, computed with PBE-GGA.

Lattice parameters (Å, degrees): 6.148 6.148 7.591 90.00 90.00 120.01
Atoms (fractional coordinates):
Rb  0.000  0.500  0.000
Rb  0.000  0.500  0.500
Ba  0.333  0.167  0.750
Ba  0.667  0.833  0.250
Sb  0.667  0.833  0.750
Sb  0.333  0.167  0.250

Computed properties:
VASP energy   -3.104 eV/atom
Crystal system   hexagonal
Total magnetization   0.00 μB/f.u.

[3]
A geometry-optimized RbBaSb structure, computed with PBE-GGA.

Lattice parameters (Å, degrees): 4.774 4.774 6.552 111.36 111.36 90.00
Atoms (fractional coordinates):
Sb  0.934  0.934  0.868
Ba  0.309  0.309  0.618
Rb  0.607  0.607  0.214

Computed properties:
VASP energy   -2.879 eV/atom
Crystal system   tetragonal
Total magnetization   0.00 μB/f.u.

What is the total magnetization in the third record?
0.00 μB/f.u.

VASP energy of number 2 (RbBaSb)?
-3.104 eV/atom

VASP energy of number 1 (RbBa3Sb)?
-1.547 eV/atom